## Ac2PI (PBE-GGA)

Data for Ac2PI after structural relaxation.

Unit cell a=8.490 b=8.490 c=8.490 alpha=30.47 beta=30.47 gamma=30.47
Fractional coordinates of all 4 atoms:
Ac  0.231  0.231  0.231
Ac  0.769  0.769  0.769
P  0.500  0.500  0.500
I  0.000  0.000  0.000

Properties
**ρ**: 7.3 g/cm³
**Energy relative to the elements, uncorrected**: -127.8 kJ per mole of atoms
**Distance to the lowest polymorph of the same formula**: 0 meV per atom
**Calculated volume**: 140 Å³ per cell
**N(E_F)**: 1.8 states/eV/cell

## KNpCu2S4 (PBE-GGA)

Data for KNpCu2S4 after structural relaxation.

Unit cell a=6.289 b=6.289 c=6.289 alpha=118.56 beta=109.32 gamma=101.02
Fractional coordinates of all 8 atoms:
K  0.000  0.000  0.000
Np  0.500  0.500  0.000
Cu  0.339  0.839  0.500
Cu  0.661  0.161  0.500
S  0.120  0.071  0.568
S  0.497  0.929  0.049
S  0.503  0.552  0.432
S  0.880  0.448  0.951

Properties
**ρ**: 4.7 g/cm³
**Energy relative to the elements, uncorrected**: -60.0 kJ per mole of atoms
**Calculated volume**: 187 Å³ per cell
**N(E_F)**: 9.2 states/eV/cell

## Hg2Te (PBE-GGA)

Data for Hg2Te after structural relaxation.

Unit cell a=5.424 b=5.424 c=5.424 alpha=131.84 beta=131.84 gamma=70.49
Fractional coordinates of all 3 atoms:
Hg  0.165  0.165  0.000
Hg  0.835  0.835  0.000
Te  0.500  0.500  0.000

Properties
**ρ**: 10.1 g/cm³
**Energy relative to the elements, uncorrected**: 9.7 kJ per mole of atoms
**Distance to the lowest polymorph of the same formula**: 130 meV per atom
**Calculated volume**: 87 Å³ per cell
**N(E_F)**: 0.7 states/eV/cell

> Which value of calculated volume does entry 3 give?

87 Å³ per cell

> Which value of calculated volume does entry 3 give?

87 Å³ per cell